Record 1
# PBE-GGA Ba2ZrIr3O12, optimized geometry
# formation energy without anion corrections	-1.573	eV/atom
# Fermi-level density of states	53.157	states/eV per cell
data_Ba2ZrIr3O12
_chemical_formula_sum 'Ba6 Zr3 Ir9 O36'
_cell_length_a 7.1918
_cell_length_b 7.1918
_cell_length_c 17.8342
_cell_angle_alpha 90.00
_cell_angle_beta 90.00
_cell_angle_gamma 120.00
_symmetry_space_group_name_H-M 'R -3 m'
_symmetry_Int_Tables_number 166
_symmetry_space_group_name_Hall '-R 3 2"'
loop_
_atom_site_label
_atom_site_type_symbol
_atom_site_fract_x
_atom_site_fract_y
_atom_site_fract_z
Ba1 Ba 0.0000 0.0000 0.1178
Zr1 Zr 0.0000 0.0000 0.5000
Ir1 Ir 0.0000 0.5000 0.0000
O1 O 0.0353 0.5177 0.1093
O2 O 0.0546 0.5273 0.3455



Record 2
# PBE-GGA BaTcW, optimized geometry
# distance to the lowest polymorph of the same formula	2121.3	meV per atom
# DFT formation energy	8.499	eV per formula unit
# Fermi-level density of states	18.355	states/eV per cell
data_BaTcW
_chemical_formula_sum 'Ba4 Tc4 W4'
_cell_length_a 6.604
_cell_length_b 6.604
_cell_length_c 6.604
_cell_angle_alpha 90.00
_cell_angle_beta 90.00
_cell_angle_gamma 90.00
_symmetry_space_group_name_H-M 'F -4 3 m'
_symmetry_Int_Tables_number 216
_symmetry_space_group_name_Hall 'F -4 2 3'
loop_
_atom_site_label
_atom_site_type_symbol
_atom_site_fract_x
_atom_site_fract_y
_atom_site_fract_z
Ba1 Ba 0.000 0.000 0.000
Tc1 Tc 0.250 0.250 0.250
W1 W 0.250 0.250 0.750



Record 3
# PBE-GGA Pm3SmHo6, optimized geometry
# distance to the lowest polymorph of the same formula	0.0	meV per atom
# DFT formation energy	0.174	eV per formula unit
# Fermi-level density of states	13.024	states/eV per cell
data_Pm3SmHo6
_chemical_formula_sum 'Pm3 Sm1 Ho6'
_cell_length_a 6.180
_cell_length_b 6.187
_cell_length_c 9.438
_cell_angle_alpha 102.61
_cell_angle_beta 108.93
_cell_angle_gamma 99.64
_symmetry_space_group_name_H-M 'P -1'
_symmetry_Int_Tables_number 2
loop_
_symmetry_equiv_pos_as_xyz
'x,y,z'
'-x,-y,-z'
loop_
_atom_site_label
_atom_site_type_symbol
_atom_site_fract_x
_atom_site_fract_y
_atom_site_fract_z
Pm1 Pm 0.000 0.000 0.000
Pm2 Pm 0.399 0.001 0.798
Sm1 Sm 0.000 0.500 0.500
Ho1 Ho 0.200 0.499 0.900
Ho2 Ho 0.202 0.001 0.401
Ho3 Ho 0.399 0.501 0.300



no.,VASP energy (eV/atom)
1,-7.0435
2,-5.5809
3,-4.6263